1.
Entry from the Alexandria database: a relaxed structure of AlCrOs2 (PBE-GGA).

```
AlCrOs2
1.0
-4.302 -2.581 0.083
0.156 -4.956 -0.768
1.617 3.790 2.863
Cr Os Al
1 2 1
Direct
0.255 0.755 0.500 Cr
0.006 0.006 0.000 Os
0.743 0.243 0.500 Os
0.496 0.496 0.000 Al
```

## Properties
Crystal system: orthorhombic
Mass density in g/cm³: 14.24
SG: No. 44
Energy of formation in eV per formula unit: -0.5
N(E_F) in states/eV per atom: 0.562

=====

2.
Entry from the Alexandria database: a relaxed structure of AlCr2Os2 (PBE-GGA).

```
AlCr2Os2
1.0
4.182 0.000 -1.144
-0.373 4.985 -1.364
-0.475 0.365 6.481
Al Cr Os
2 4 4
Direct
0.927 0.250 0.000 Al
0.073 0.750 0.000 Al
0.211 0.539 0.407 Cr
0.804 0.961 0.593 Cr
0.789 0.461 0.593 Cr
0.196 0.039 0.407 Cr
0.472 0.835 0.792 Os
0.319 0.335 0.792 Os
0.528 0.165 0.208 Os
0.681 0.665 0.208 Os
```

## Properties
Crystal system: monoclinic
ΔE to the lowest computed polymorph in eV per atom: 0.000
Mass density in g/cm³: 12.61
SG: No. 15
Energy of formation in eV per formula unit: 0.1
N(E_F) in states/eV per atom: 0.927

=====

3.
Entry from the Alexandria database: a relaxed structure of AlCr3Os (PBE-GGA).

```
AlCr3Os
1.0
-0.397 0.411 -4.623
-1.422 -4.428 -0.272
-4.418 1.388 0.503
Cr Os Al
3 1 1
Direct
0.000 0.500 0.000 Cr
0.000 0.000 0.500 Cr
0.500 0.000 0.000 Cr
0.000 0.000 0.000 Os
0.500 0.500 0.500 Al
```

## Properties
Crystal system: cubic
ΔE to the lowest computed polymorph in eV per atom: 0.000
Mass density in g/cm³: 6.13
SG: No. 221
Energy of formation in eV per formula unit: 6.4
N(E_F) in states/eV per atom: 1.141

=====

4.
Entry from the Alexandria database: a relaxed structure of AlCrOs2 (PBE-GGA).

```
AlCrOs2
1.0
2.678 0.007 0.000
-1.172 2.409 0.000
0.000 0.000 8.630
Cr Os Al
1 2 1
Direct
0.500 0.500 0.748 Cr
0.000 0.000 0.987 Os
0.500 0.500 0.259 Os
0.000 0.000 0.506 Al
```

## Properties
Crystal system: orthorhombic
Mass density in g/cm³: 13.69
SG: No. 35
Energy of formation in eV per formula unit: 1.0
N(E_F) in states/eV per atom: 1.072

=====

5.
Entry from the Alexandria database: a relaxed structure of AlCrOs2 (PBE-GGA).

```
AlCrOs2
1.0
8.731 -0.005 -0.003
8.305 2.694 -0.003
8.305 1.311 2.353
Cr Os Al
1 2 1
Direct
0.749 0.749 0.749 Cr
0.003 0.003 0.003 Os
0.250 0.250 0.250 Os
0.498 0.498 0.498 Al
```

## Properties
Crystal system: trigonal
Mass density in g/cm³: 13.74
SG: No. 160
Energy of formation in eV per formula unit: 0.3
N(E_F) in states/eV per atom: 1.317

=====

6.
Entry from the Alexandria database: a relaxed structure of Al3CrOs (PBE-GGA).

```
Al3CrOs
1.0
4.645 0.000 0.000
0.000 4.645 0.000
0.000 0.000 4.645
Cr Os Al
1 1 3
Direct
0.500 0.500 0.500 Cr
0.000 0.000 0.000 Os
0.000 0.500 0.000 Al
0.000 0.000 0.500 Al
0.500 0.000 0.000 Al
```

## Properties
Crystal system: cubic
ΔE to the lowest computed polymorph in eV per atom: 0.000
Mass density in g/cm³: 5.35
SG: No. 221
Energy of formation in eV per formula unit: 4.2
N(E_F) in states/eV per atom: 2.013